1.
VASP calculation (PBE) on a relaxed YPu2Br6 crystal.

```
data_YPu2Br6
_cell_length_a 16.088
_cell_length_b 3.995
_cell_length_c 10.373
_cell_angle_alpha 90.00
_cell_angle_beta 111.54
_cell_angle_gamma 90.00
_symmetry_space_group_name_H-M 'C 1 2/m 1'
_symmetry_Int_Tables_number 12
loop_
_symmetry_equiv_pos_as_xyz
'x,y,z'
'-x,-y,-z'
'-x,y,-z'
'x,-y,z'
'x+1/2,y+1/2,z'
'-x+1/2,-y+1/2,-z'
'-x+1/2,y+1/2,-z'
'x+1/2,-y+1/2,z'
loop_
_atom_site_label
_atom_site_fract_x
_atom_site_fract_y
_atom_site_fract_z
_atom_site_occupancy
Y1 0.000 0.000 0.000 1
Pu1 0.173 0.500 0.349 1
Br1 0.023 0.000 0.286 1
Br2 0.135 0.500 0.038 1
Br3 0.188 0.500 0.641 1
```

Properties
**Raw formation energy**: -1.496 eV/atom


2.
VASP calculation (PBE) on a relaxed Mg2FeW crystal.

```
data_Mg2FeW
_cell_length_a 4.898
_cell_length_b 4.898
_cell_length_c 2.764
_cell_angle_alpha 90.00
_cell_angle_beta 90.00
_cell_angle_gamma 90.00
_symmetry_space_group_name_H-M 'P 4/m m m'
_symmetry_Int_Tables_number 123
_symmetry_space_group_name_Hall '-P 4 2'
loop_
_atom_site_label
_atom_site_fract_x
_atom_site_fract_y
_atom_site_fract_z
_atom_site_occupancy
Mg1 0.000 0.500 0.000 1
Fe1 0.000 0.000 0.500 1
W1 0.500 0.500 0.500 1
```

Properties
**Polymorph energy (0 for the lowest one)**: 515 meV per atom


3.
VASP calculation (PBE) on a relaxed TeWSN2 crystal.

```
data_TeWSN2
_cell_length_a 3.974
_cell_length_b 3.974
_cell_length_c 5.032
_cell_angle_alpha 90.00
_cell_angle_beta 90.00
_cell_angle_gamma 90.00
_symmetry_space_group_name_H-M 'P 4/m m m'
_symmetry_Int_Tables_number 123
_symmetry_space_group_name_Hall '-P 4 2'
loop_
_atom_site_label
_atom_site_fract_x
_atom_site_fract_y
_atom_site_fract_z
_atom_site_occupancy
Te1 0.000 0.000 0.000 1
W1 0.500 0.500 0.500 1
S1 0.500 0.500 0.000 1
N1 0.000 0.500 0.500 1
```

Properties
**Polymorph energy (0 for the lowest one)**: 29 meV per atom
**Raw formation energy**: 0.528 eV/atom


4.
VASP calculation (PBE) on a relaxed HoSiRh2 crystal.

```
data_HoSiRh2
_cell_length_a 4.073
_cell_length_b 17.454
_cell_length_c 4.001
_cell_angle_alpha 90.00
_cell_angle_beta 90.00
_cell_angle_gamma 90.00
_symmetry_space_group_name_H-M 'C m m m'
_symmetry_Int_Tables_number 65
_symmetry_space_group_name_Hall '-C 2 2'
loop_
_atom_site_label
_atom_site_fract_x
_atom_site_fract_y
_atom_site_fract_z
_atom_site_occupancy
Ho1 0.000 0.146 0.000 1
Si1 0.000 0.423 0.500 1
Rh1 0.000 0.000 0.500 1
Rh2 0.000 0.292 0.500 1
Rh3 0.000 0.500 0.000 1
```

Properties
**Raw formation energy**: -0.943 eV/atom


5.
VASP calculation (PBE) on a relaxed ScOs2Pb2 crystal.

```
data_ScOs2Pb2
_cell_length_a 7.976
_cell_length_b 7.976
_cell_length_c 3.142
_cell_angle_alpha 90.00
_cell_angle_beta 90.00
_cell_angle_gamma 90.00
_symmetry_space_group_name_H-M 'P 4/m b m'
_symmetry_Int_Tables_number 127
_symmetry_space_group_name_Hall '-P 4 2ab'
loop_
_atom_site_label
_atom_site_fract_x
_atom_site_fract_y
_atom_site_fract_z
_atom_site_occupancy
Sc1 0.000 0.000 0.000 1
Os1 0.152 0.348 0.500 1
Pb1 0.146 0.646 0.000 1
```

Properties
**Polymorph energy (0 for the lowest one)**: 64 meV per atom


6.
VASP calculation (PBE) on a relaxed Ba2InSn4Ir3 crystal.

```
data_Ba2InSn4Ir3
_cell_length_a 4.727
_cell_length_b 4.727
_cell_length_c 11.272
_cell_angle_alpha 90.00
_cell_angle_beta 90.00
_cell_angle_gamma 90.00
_symmetry_space_group_name_H-M 'P -4 m 2'
_symmetry_Int_Tables_number 115
loop_
_symmetry_equiv_pos_as_xyz
'x,y,z'
'y,-x,-z'
'-x,-y,z'
'-y,x,-z'
'-x,y,z'
'-y,-x,-z'
'x,-y,z'
'y,x,-z'
loop_
_atom_site_label
_atom_site_fract_x
_atom_site_fract_y
_atom_site_fract_z
_atom_site_occupancy
Ba1 0.000 0.500 0.245 1
In1 0.000 0.000 0.500 1
Sn1 0.000 0.000 0.000 1
Sn2 0.000 0.500 0.643 1
Sn3 0.500 0.500 0.000 1
Ir1 0.000 0.500 0.881 1
Ir2 0.500 0.500 0.500 1
```


7.
VASP calculation (PBE) on a relaxed Cu12AgPd6 crystal.

```
data_Cu12AgPd6
_cell_length_a 11.1341
_cell_length_b 11.1341
_cell_length_c 7.9931
_cell_angle_alpha 90.00
_cell_angle_beta 90.00
_cell_angle_gamma 120.00
_symmetry_space_group_name_H-M 'R -3 m'
_symmetry_Int_Tables_number 166
_symmetry_space_group_name_Hall '-R 3 2"'
loop_
_atom_site_label
_atom_site_fract_x
_atom_site_fract_y
_atom_site_fract_z
_atom_site_occupancy
Cu1 0.0000 0.3908 0.0000 1
Cu2 0.0788 0.1576 0.7656 1
Ag1 0.0000 0.0000 0.5000 1
Pd1 0.0670 0.5335 0.7295 1
```


8.
VASP calculation (PBE) on a relaxed Sm6NiIr2I3 crystal.

```
data_Sm6NiIr2I3
_cell_length_a 7.179
_cell_length_b 12.432
_cell_length_c 8.381
_cell_angle_alpha 90.00
_cell_angle_beta 106.60
_cell_angle_gamma 90.00
_symmetry_space_group_name_H-M 'C 1 2/m 1'
_symmetry_Int_Tables_number 12
loop_
_symmetry_equiv_pos_as_xyz
'x,y,z'
'-x,-y,-z'
'-x,y,-z'
'x,-y,z'
'x+1/2,y+1/2,z'
'-x+1/2,-y+1/2,-z'
'-x+1/2,y+1/2,-z'
'x+1/2,-y+1/2,z'
loop_
_atom_site_label
_atom_site_fract_x
_atom_site_fract_y
_atom_site_fract_z
_atom_site_occupancy
Sm1 0.227 0.166 0.183 1
Sm2 0.229 0.500 0.183 1
Ni1 0.000 0.000 0.000 1
Ir1 0.000 0.333 0.000 1
I1 0.000 0.167 0.500 1
I2 0.000 0.500 0.500 1
```

Properties
**Raw formation energy**: -0.878 eV/atom


9.
VASP calculation (PBE) on a relaxed RbGa2SnF crystal.

```
data_RbGa2SnF
_cell_length_a 6.125
_cell_length_b 6.125
_cell_length_c 4.621
_cell_angle_alpha 90.00
_cell_angle_beta 90.00
_cell_angle_gamma 90.00
_symmetry_space_group_name_H-M 'P 4/m m m'
_symmetry_Int_Tables_number 123
_symmetry_space_group_name_Hall '-P 4 2'
loop_
_atom_site_label
_atom_site_fract_x
_atom_site_fract_y
_atom_site_fract_z
_atom_site_occupancy
Rb1 0.000 0.000 0.000 1
Ga1 0.000 0.500 0.000 1
Sn1 0.500 0.500 0.500 1
F1 0.000 0.000 0.500 1
```

Properties
**Raw formation energy**: 0.030 eV/atom


10.
VASP calculation (PBE) on a relaxed Pr2NdEr4 crystal.

```
data_Pr2NdEr4
_cell_length_a 6.770
_cell_length_b 8.949
_cell_length_c 8.956
_cell_angle_alpha 80.52
_cell_angle_beta 67.84
_cell_angle_gamma 67.78
_symmetry_space_group_name_H-M 'P 1'
_symmetry_Int_Tables_number 1
loop_
_symmetry_equiv_pos_as_xyz
'x,y,z'
loop_
_atom_site_label
_atom_site_fract_x
_atom_site_fract_y
_atom_site_fract_z
_atom_site_occupancy
Pr1 0.000 0.000 0.000 1
Pr2 0.001 0.500 0.500 1
Pr3 0.338 0.028 0.527 1
Pr4 0.893 0.972 0.473 1
Nd1 0.338 0.527 0.028 1
Nd2 0.893 0.473 0.973 1
Er1 0.329 0.251 0.750 1
Er2 0.330 0.750 0.249 1
Er3 0.334 0.150 0.150 1
Er4 0.336 0.650 0.650 1
Er5 0.633 0.850 0.851 1
Er6 0.636 0.351 0.350 1
Er7 0.773 0.251 0.751 1
Er8 0.774 0.750 0.250 1
```

Properties
**Polymorph energy (0 for the lowest one)**: 0 meV per atom


no.,N(E_F) (states/eV/atom),VASP energy (eV per atom)
1,2.291,-6.5145
2,0.956,-5.4509
3,0.548,-6.8468
4,0.316,-7.1188
5,0.905,-6.5626
6,0.757,-5.2855
7,0.257,-4.2005
8,0.493,-5.5840
9,0.642,-2.5487
10,1.124,-4.4743